--- P ---
The following is a DFT calculation (meta-GGA SCAN) of a PBEsol-optimized structure of K2ScRe.

Unit cell a=4.6457 b=4.6457 c=5.4613 alpha=90.00 beta=90.00 gamma=90.00
Closest atoms and distances in Å follow each position.
Element x y z (fractional)
K (0.0000, 0.0000, 0.7575)  2 K 2.65-2.81
K (0.0000, 0.0000, 0.2425)  2 K 2.65-2.81
Re (0.5000, 0.5000, 0.0000)  2 Sc 2.73
Sc (0.5000, 0.5000, 0.5000)  2 Re 2.73

Results
space group: No. 123
calculated volume: 117.87 Å³/f.u.
mass density: 4.4 g/cm3
density of states at the Fermi level: 4.25 states/eV/cell

***

--- Q ---
The following is a DFT calculation (meta-GGA SCAN) of a PBEsol-optimized structure of K2ScRe.

Unit cell a=2.9290 b=5.1088 c=6.9286 alpha=111.21 beta=101.49 gamma=91.89
Closest atoms and distances in Å follow each position.
Element x y z (fractional)
K (0.0000, 0.0000, 0.5000)  6 K 2.90-2.99
K (0.5000, 0.5000, 0.5000)  6 K 2.90-2.99
Re (0.5000, 0.0000, 0.0000)  4 Sc 2.90-2.99, 2 Re 2.93
Sc (0.0000, 0.5000, 0.0000)  4 Re 2.90-2.99, 2 Sc 2.93

Results
space group: No. 12
calculated volume: 94.09 Å³/f.u.
mass density: 5.5 g/cm3
density of states at the Fermi level: 3.06 states/eV/cell

***

Result of the stability comparison: Q is the most stable of them.

***

--- P ---
The following is a DFT calculation (meta-GGA SCAN) of a PBEsol-optimized structure of K2ScRe.

Unit cell a=3.4724 b=3.4724 c=10.4669 alpha=90.00 beta=90.00 gamma=90.00
Closest atoms and distances in Å follow each position.
Element x y z (fractional)
K (0.0000, 0.0000, 0.3309)  1 Sc 3.47, 4 K 3.47, 4 Re 3.47
K (0.5000, 0.5000, 0.9411)  4 K 3.47, 4 Sc 3.81
Re (0.5000, 0.5000, 0.5656)  4 Sc 2.66
Sc (0.0000, 0.0000, 0.6624)  4 Re 2.66

Results
space group: No. 99
calculated volume: 126.20 Å³/f.u.
mass density: 4.1 g/cm3
density of states at the Fermi level: 3.01 states/eV/cell

***

--- Q ---
The following is a DFT calculation (meta-GGA SCAN) of a PBEsol-optimized structure of K2ScRe.

Unit cell a=3.0455 b=4.3336 c=10.6782 alpha=101.27 beta=98.20 gamma=90.00
Closest atoms and distances in Å follow each position.
Element x y z (fractional)
Sc (0.0000, 0.5000, 0.0000)  4 Re 2.65
K (0.8506, 0.8577, 0.7012)  2 K 3.05
K (0.1494, 0.1423, 0.2988)  2 K 3.05
Re (0.5000, 0.0000, 0.0000)  4 Sc 2.65

Results
space group: No. 12
calculated volume: 136.74 Å³/f.u.
mass density: 3.8 g/cm3
density of states at the Fermi level: 3.55 states/eV/cell

***

--- R ---
The following is a DFT calculation (meta-GGA SCAN) of a PBEsol-optimized structure of K2ScRe.

Unit cell a=2.8399 b=5.5440 c=6.1535 alpha=90.00 beta=90.00 gamma=90.00
Closest atoms and distances in Å follow each position.
Element x y z (fractional)
K (0.0000, 0.7418, 0.0000)  4 K 2.68-2.86
K (0.0000, 0.2582, 0.0000)  4 K 2.68-2.86
Re (0.5000, 0.5000, 0.5000)  2 Sc 2.77, 2 Re 2.84
Sc (0.5000, 0.0000, 0.5000)  2 Re 2.77, 2 Sc 2.84

Results
space group: No. 47
calculated volume: 96.88 Å³/f.u.
mass density: 5.3 g/cm3
density of states at the Fermi level: 3.85 states/eV/cell

***

Result of the stability comparison: Q is the most stable of them.

***

--- P ---
The following is a DFT calculation (meta-GGA SCAN) of a PBEsol-optimized structure of K2SrRe.

Unit cell a=3.0048 b=5.9293 c=7.2722 alpha=113.79 beta=101.44 gamma=91.17
Closest atoms and distances in Å follow each position.
Element x y z (fractional)
K (0.5000, 0.5000, 0.5000)  6 K 3.00-3.35
K (0.0000, 0.0000, 0.5000)  6 K 3.00-3.35
Sr (0.0000, 0.5000, 0.0000)  2 Sr 3.00, 4 Re 3.30-3.35
Re (0.5000, 0.0000, 0.0000)  2 Re 3.00, 4 Sr 3.30-3.35

Results
space group: No. 12
calculated volume: 115.47 Å³/f.u.
mass density: 5.1 g/cm3
density of states at the Fermi level: 3.01 states/eV/cell

***

--- Q ---
The following is a DFT calculation (meta-GGA SCAN) of a PBEsol-optimized structure of K2SrRe.

Unit cell a=3.0068 b=3.0068 c=13.2336 alpha=90.00 beta=90.00 gamma=90.00
Closest atoms and distances in Å follow each position.
Element x y z (fractional)
K (0.0000, 0.0000, 0.7983)  4 K 3.01
K (0.0000, 0.0000, 0.2017)  4 K 3.01
Re (0.5000, 0.5000, 0.0000)  4 Re 3.01
Sr (0.5000, 0.5000, 0.5000)  4 Sr 3.01

Results
space group: No. 123
calculated volume: 119.64 Å³/f.u.
mass density: 4.9 g/cm3
density of states at the Fermi level: 3.61 states/eV/cell

***

--- R ---
The following is a DFT calculation (meta-GGA SCAN) of a PBEsol-optimized structure of K2SrRe.

Unit cell a=2.9625 b=5.3140 c=9.2686 alpha=92.36 beta=90.00 gamma=106.19
Closest atoms and distances in Å follow each position.
Element x y z (fractional)
K (0.0005, 0.0010, 0.0568)  2 K 2.96
K (0.2374, 0.4748, 0.6857)  2 K 2.96
Re (0.4981, 0.9961, 0.4359)  3 Sr 2.96-2.97, 2 Re 2.96
Sr (0.7641, 0.5281, 0.3215)  3 Re 2.96-2.97, 2 Sr 2.96

Results
space group: No. 8
calculated volume: 140.00 Å³/f.u.
mass density: 4.2 g/cm3
density of states at the Fermi level: 3.31 states/eV/cell

***

Result of the stability comparison: R is the most stable of them.